Entry 1:
4
Lattice="3.266 0.711 0.000 -0.707 3.267 0.000 0.000 0.000 9.087" Properties=species:S:1:pos:R:3 comment="PBE CrIn2Br, relaxed" spacegroup=P4mm de_polymorph_ev_per_fu=0.186 formation_energy_uncorrected_mev_per_atom=92.0 dos_ef_per_ev_atom=0.7537 pbc="T T T"
Br 0.000 0.000 5.215
Cr 1.280 1.989 6.770
In 1.280 1.989 2.056
In 0.000 0.000 8.676

=====

Entry 2:
4
Lattice="-2.903 -2.048 0.808 0.082 -1.437 -3.347 5.234 -6.300 2.834" Properties=species:S:1:pos:R:3 comment="PBE CrInBr2, relaxed" spacegroup=P4mm de_polymorph_ev_per_fu=0.753 formation_energy_uncorrected_mev_per_atom=-131.0 dos_ef_per_ev_atom=0.5060 pbc="T T T"
Cr 2.432 -2.927 1.317
Br 0.373 -3.889 -0.304
Br 4.945 -5.952 2.678
In 2.514 -6.466 0.856

=====

Entry 3:
7
Lattice="5.288 0.000 0.000 0.000 5.288 0.000 2.644 2.644 8.095" Properties=species:S:1:pos:R:3 comment="PBE CrIn2Br4, relaxed" spacegroup=I4/mmm formation_energy_uncorrected_mev_per_atom=-628.7 dos_ef_per_ev_atom=0.0350 pbc="T T T"
Br 2.644 0.000 0.000
Br 0.000 2.644 0.000
Br 5.288 5.288 2.591
Br 2.644 2.644 5.504
In 5.288 5.288 5.853
In 2.644 2.644 2.242
Cr 0.000 0.000 0.000